Entry 1:
# AgI2N2 (PBE, relaxed)
data_AgI2N2
_chemical_formula_sum 'Ag1 I2 N2'
_cell_length_a 4.7025
_cell_length_b 4.7025
_cell_length_c 13.1639
_cell_angle_alpha 97.35
_cell_angle_beta 97.35
_cell_angle_gamma 49.49
_symmetry_space_group_name_H-M 'P 1'
_symmetry_Int_Tables_number 1
_symmetry_space_group_name_Hall 'P 1'
loop_
_atom_site_label
_atom_site_fract_x
_atom_site_fract_y
_atom_site_fract_z
Ag1 0.0000 0.0000 0.0000
I1 0.4170 0.4170 0.1327
I2 0.5830 0.5830 0.8673
N1 0.4964 0.4964 0.4574
N2 0.5036 0.5036 0.5426
# * total moment: 0.0 μB per formula unit
# * formation energy (no corrections): -0.047 eV per atom
# * offset from the most stable computed form: 0 meV/atom
# * total DFT energy (no corrections): -22.8 eV/cell

Entry 2:
# NaAgIN2 (PBE, relaxed)
data_NaAgIN2
_chemical_formula_sum 'Na1 Ag1 I1 N2'
_cell_length_a 4.2775
_cell_length_b 4.2775
_cell_length_c 6.9336
_cell_angle_alpha 90.00
_cell_angle_beta 90.00
_cell_angle_gamma 90.00
_symmetry_space_group_name_H-M 'P 1'
_symmetry_Int_Tables_number 1
_symmetry_space_group_name_Hall 'P 1'
loop_
_atom_site_label
_atom_site_fract_x
_atom_site_fract_y
_atom_site_fract_z
Na1 0.0000 0.0000 0.0000
Ag1 0.5000 0.5000 0.5000
I1 0.5000 0.5000 0.0000
N1 0.0000 0.5000 0.5000
N2 0.5000 0.0000 0.5000
# * total moment: 4.0 μB per formula unit
# * formation energy (no corrections): 1.187 eV per atom
# * offset from the most stable computed form: 0 meV/atom
# * total DFT energy (no corrections): -16.4 eV/cell

Entry 3:
# NaAgIN2 (PBE, relaxed)
data_NaAgIN2
_chemical_formula_sum 'Na1 Ag1 I1 N2'
_cell_length_a 4.5349
_cell_length_b 4.5349
_cell_length_c 6.5704
_cell_angle_alpha 90.00
_cell_angle_beta 90.00
_cell_angle_gamma 90.00
_symmetry_space_group_name_H-M 'P 1'
_symmetry_Int_Tables_number 1
_symmetry_space_group_name_Hall 'P 1'
loop_
_atom_site_label
_atom_site_fract_x
_atom_site_fract_y
_atom_site_fract_z
Na1 0.0000 0.0000 0.0000
Ag1 0.5000 0.5000 0.5000
I1 0.0000 0.0000 0.5000
N1 0.0000 0.5000 0.0000
N2 0.5000 0.0000 0.0000
# * total moment: 5.0 μB per formula unit
# * formation energy (no corrections): 1.663 eV per atom
# * offset from the most stable computed form: 475 meV/atom
# * total DFT energy (no corrections): -14.1 eV/cell

Entry 4:
# NiAgI2N (PBE, relaxed)
data_NiAgI2N
_chemical_formula_sum 'Ni1 Ag1 I2 N1'
_cell_length_a 5.8251
_cell_length_b 5.8251
_cell_length_c 3.8648
_cell_angle_alpha 90.00
_cell_angle_beta 90.00
_cell_angle_gamma 90.00
_symmetry_space_group_name_H-M 'P 1'
_symmetry_Int_Tables_number 1
_symmetry_space_group_name_Hall 'P 1'
loop_
_atom_site_label
_atom_site_fract_x
_atom_site_fract_y
_atom_site_fract_z
Ni1 0.0000 0.0000 0.0000
Ag1 0.5000 0.5000 0.5000
I1 0.0000 0.5000 0.5000
I2 0.5000 0.0000 0.5000
N1 0.5000 0.5000 0.0000
# * total moment: 1.2 μB per formula unit
# * formation energy (no corrections): 1.421 eV per atom
# * offset from the most stable computed form: 890 meV/atom
# * total DFT energy (no corrections): -13.0 eV/cell

- Look up the total DFT energy (no corrections) of the third one.
  -14.1 eV/cell